This record from Alexandria via LeMat-Bulk describes an optimized crystal structure of MnH2O. The functional is PBE with a Hubbard U.

Calculated values
DOS at the Fermi energy = 2.73 states/eV per cell
total DFT energy (no corrections) = -4.474 eV/atom
volume = 8.89 Å³ per atom
magnetic moment = 4.81 μB per formula unit
SG = Fd-3m, No. 227

Lattice parameters (Å, degrees): 4.649 4.649 4.652 60.02 60.02 90.00
Fractional positions:
H 0.375 0.625 0.250
H 0.875 0.625 0.750
H 0.375 0.625 0.750
H 0.375 0.125 0.250
Mn 0.750 0.250 0.500
Mn 0.000 0.000 0.000
O 0.500 0.500 0.000
O 0.250 0.750 0.500